The following is a PBEsol calculation of Cu3SbF after structural relaxation, from Alexandria.

Cell lengths 4.157, 4.157, 4.157 Å; angles 90.00, 90.00, 90.00 degrees
Positions (direct):
Sb 0.500 0.500 0.500
Cu 0.000 0.500 0.000
Cu 0.000 0.000 0.500
Cu 0.500 0.000 0.000
F 0.000 0.000 0.000

## Properties
ΔE_f (raw): 16 meV per atom
ρ: 7.663 Mg/m³
Energy above the most stable polymorph in this dataset: 0 meV per atom
Symmetry: Pm-3m
Total DFT energy (no corrections): -19.4 eV per formula unit
Total magnetization: 0.0 μB per formula unit

The following is a PBEsol calculation of YZnFe2Te after structural relaxation, from Alexandria.

Cell lengths 4.469, 4.469, 5.232 Å; angles 90.00, 90.00, 90.00 degrees
Positions (direct):
Y 0.000 0.000 0.500
Zn 0.000 0.000 0.000
Te 0.500 0.500 0.500
Fe 0.000 0.500 0.000
Fe 0.500 0.000 0.000

## Properties
ΔE_f (raw): 509 meV per atom
ρ: 6.255 Mg/m³
Symmetry: P4/mmm
Total DFT energy (no corrections): -27.3 eV per formula unit
Total magnetization: 5.3 μB per formula unit

The following is a PBEsol calculation of Zr3PRu after structural relaxation, from Alexandria.

Cell lengths 4.868, 4.868, 4.868 Å; angles 90.00, 90.00, 90.00 degrees
Positions (direct):
Ru 0.000 0.000 0.000
Zr 0.000 0.500 0.000
Zr 0.000 0.000 0.500
Zr 0.500 0.000 0.000
P 0.500 0.500 0.500

## Properties
ρ: 5.839 Mg/m³
Symmetry: Pm-3m
Formation energy: 0.35 eV/atom
Total DFT energy (no corrections): -41.5 eV per formula unit
Total magnetization: 0.0 μB per formula unit

The following is a PBEsol calculation of K3HfBi after structural relaxation, from Alexandria.

Cell lengths 6.604, 6.604, 6.604 Å; angles 90.00, 90.00, 90.00 degrees
Positions (direct):
K 0.000 0.500 0.000
K 0.000 0.000 0.500
K 0.500 0.000 0.000
Hf 0.500 0.500 0.500
Bi 0.000 0.000 0.000

## Properties
ρ: 2.910 Mg/m³
Symmetry: Pm-3m
Formation energy: 1.04 eV/atom
Total DFT energy (no corrections): -13.0 eV per formula unit
Total magnetization: 2.0 μB per formula unit

The following is a PBEsol calculation of SiW2 after structural relaxation, from Alexandria.

Cell lengths 4.851, 4.851, 4.851 Å; angles 104.64, 104.64, 119.63 degrees
Positions (direct):
Si 0.750 0.750 0.000
Si 0.250 0.250 0.000
W 0.841 0.341 0.181
W 0.159 0.659 0.819
W 0.341 0.159 0.500
W 0.659 0.841 0.500

## Properties
ΔE_f (raw): -185 meV per atom
ρ: 15.324 Mg/m³
Energy above the most stable polymorph in this dataset: 0 meV per atom
Symmetry: I4/mcm
Total DFT energy (no corrections): -33.9 eV per formula unit
Total magnetization: 0.0 μB per formula unit

The following is a PBEsol calculation of Li3AgW after structural relaxation, from Alexandria.

Cell lengths 4.912, 4.912, 4.912 Å; angles 90.00, 90.00, 90.00 degrees
Positions (direct):
Ag 0.500 0.500 0.500
W 0.000 0.000 0.000
Li 0.000 0.500 0.000
Li 0.000 0.000 0.500
Li 0.500 0.000 0.000

## Properties
ρ: 4.380 Mg/m³
Symmetry: Pm-3m
Formation energy: 1.65 eV/atom
Total DFT energy (no corrections): -14.8 eV per formula unit
Total magnetization: 4.2 μB per formula unit

The following is a PBEsol calculation of MnP2Br after structural relaxation, from Alexandria.

Cell lengths 4.476, 4.476, 4.476 Å; angles 60.00, 60.00, 60.00 degrees
Positions (direct):
Br 0.500 0.500 0.500
Mn 0.750 0.750 0.750
P 0.000 0.000 0.000
P 0.250 0.250 0.250

## Properties
ΔE_f (raw): 668 meV per atom
ρ: 5.154 Mg/m³
Energy above the most stable polymorph in this dataset: 625 meV per atom
Symmetry: F-43m
Total DFT energy (no corrections): -20.5 eV per formula unit
Total magnetization: 3.3 μB per formula unit

The following is a PBEsol calculation of Be3Os4 after structural relaxation, from Alexandria.

Cell lengths 2.783, 2.783, 10.421 Å; angles 97.67, 97.67, 90.00 degrees
Positions (direct):
Be 0.000 0.000 0.000
Be 0.724 0.724 0.449
Be 0.276 0.276 0.551
Os 0.846 0.846 0.692
Os 0.154 0.154 0.308
Os 0.569 0.569 0.138
Os 0.431 0.431 0.862

## Properties
ρ: 16.505 Mg/m³
Symmetry: I4/mmm
Formation energy: -0.17 eV/atom
Total DFT energy (no corrections): -62.1 eV per formula unit
Total magnetization: 0.0 μB per formula unit

The following is a PBEsol calculation of Ca2TiRuO6 after structural relaxation, from Alexandria.

Cell lengths 5.347, 5.465, 7.617 Å; angles 90.00, 89.86, 90.00 degrees
Positions (direct):
Ca 0.511 0.451 0.250
Ca 0.989 0.951 0.250
Ca 0.489 0.549 0.750
Ca 0.011 0.049 0.750
Ti 0.000 0.500 0.500
Ti 0.500 0.000 0.000
Ru 0.000 0.500 0.000
Ru 0.500 0.000 0.500
O 0.081 0.519 0.251
O 0.419 0.019 0.249
O 0.919 0.481 0.749
O 0.581 0.981 0.751
O 0.706 0.706 0.458
O 0.794 0.206 0.042
O 0.296 0.291 0.958
O 0.204 0.791 0.542
O 0.294 0.294 0.542
O 0.206 0.794 0.958
O 0.704 0.709 0.042
O 0.796 0.209 0.458

## Properties
ΔE_f (raw): -2538 meV per atom
ρ: 4.851 Mg/m³
Symmetry: P2_1/c
Total DFT energy (no corrections): -79.6 eV per formula unit
Total magnetization: 2.0 μB per formula unit

The following is a PBEsol calculation of CrAu2Cl after structural relaxation, from Alexandria.

Cell lengths 2.913, 5.168, 5.598 Å; angles 117.49, 105.08, 90.00 degrees
Positions (direct):
Cr 0.761 0.261 0.523
Au 0.035 0.035 0.070
Au 0.259 0.759 0.518
Cl 0.445 0.445 0.889

## Properties
ΔE_f (raw): 186 meV per atom
ρ: 11.185 Mg/m³
Energy above the most stable polymorph in this dataset: 162 meV per atom
Symmetry: Imm2
Total DFT energy (no corrections): -19.4 eV per formula unit
Total magnetization: 3.5 μB per formula unit

The following is a PBEsol calculation of ScCrAs2Rh after structural relaxation, from Alexandria.

Cell lengths 4.477, 4.477, 4.465 Å; angles 90.00, 90.00, 90.00 degrees
Positions (direct):
Sc 0.000 0.000 0.500
Cr 0.000 0.000 0.000
As 0.000 0.500 0.000
As 0.500 0.000 0.000
Rh 0.500 0.500 0.500

## Properties
ρ: 6.487 Mg/m³
Symmetry: P4/mmm
Formation energy: 0.37 eV/atom
Total DFT energy (no corrections): -33.4 eV per formula unit
Total magnetization: 0.0 μB per formula unit

The following is a PBEsol calculation of Si2TcSe after structural relaxation, from Alexandria.

Cell lengths 3.090, 4.486, 4.668 Å; angles 96.39, 90.00, 110.15 degrees
Positions (direct):
Se 0.500 0.000 0.000
Si 0.728 0.456 0.703
Si 0.272 0.544 0.297
Tc 0.000 0.000 0.500

## Properties
ΔE_f (raw): 98 meV per atom
ρ: 6.419 Mg/m³
Symmetry: C2/m
Total DFT energy (no corrections): -26.2 eV per formula unit
Total magnetization: 0.0 μB per formula unit